# 1
Compound: La5Pa2O12
Source: Alexandria via LeMat-Bulk
Functional: GGA-PBE
Structure: relaxed

The structure belongs to space group C2/m (No. 12); the cell edges are 13.3047, 6.5552 and 7.9317 Å and the angles 90.00°, 107.33° and 90.00°. The inequivalent atoms are La at (0.0000, 0.0000, 0.0000), La at (0.1974, 0.5000, 0.3260), La at (0.2038, 0.5000, 0.8663), Pa at (0.0000, 0.2396, 0.5000), O at (0.0006, 0.0000, 0.7021), O at (0.0031, 0.5000, 0.3183), O at (0.1574, 0.2506, 0.0763) and O at (0.1686, 0.2693, 0.5873).

The uncorrected formation energy comes out at -3.4558 eV per atom. For the total DFT energy (no corrections), the calculation gives -168.79 eV per formula unit. The density of states at the Fermi level is 0.21 states/eV/atom.

---

# 2
Compound: La2PaO
Source: Alexandria via LeMat-Bulk
Functional: GGA-PBE
Structure: relaxed

The structure belongs to space group R-3m (No. 166, hexagonal axes); the cell edges are 3.3617, 3.3617 and 29.0300 Å and the angles 90.00°, 90.00° and 120.00°. The inequivalent atoms are La at (0.0000, 0.0000, 0.1105), Pa at (0.0000, 0.0000, 0.0000) and O at (0.0000, 0.0000, 0.5000).

The uncorrected formation energy comes out at -0.9898 eV per atom. For the total DFT energy (no corrections), the calculation gives -28.27 eV per formula unit. The density of states at the Fermi level is 1.31 states/eV/atom.

---

# 3
Compound: La2PaO6
Source: Alexandria via LeMat-Bulk
Functional: GGA-PBE
Structure: relaxed

The structure belongs to space group P4_2/mnm (No. 136); the cell edges are 5.3092, 5.3092 and 11.1555 Å and the angles 90.00°, 90.00° and 90.00°. The inequivalent atoms are La at (0.0000, 0.0000, 0.1649), Pa at (0.0000, 0.0000, 0.5000), O at (0.1814, 0.1814, 0.3491) and O at (0.2076, 0.2076, 0.0000).

The uncorrected formation energy comes out at -3.2578 eV per atom. For the total DFT energy (no corrections), the calculation gives -78.42 eV per formula unit. The density of states at the Fermi level is 1.12 states/eV/atom. The distance to the lowest polymorph of the same formula is 0.1079 eV/atom.

---

# 4
Compound: La2PaO6
Source: Alexandria via LeMat-Bulk
Functional: GGA-PBE
Structure: relaxed

The structure belongs to space group Immm (No. 71); the cell edges are 3.9871, 5.6691 and 11.7678 Å and the angles 90.00°, 90.00° and 90.00°. The inequivalent atoms are La at (0.0000, 0.0000, 0.1666), Pa at (0.0000, 0.0000, 0.5000), O at (0.0000, 0.2376, 0.3457) and O at (0.0000, 0.2750, 0.0000).

The uncorrected formation energy comes out at -3.3657 eV per atom. For the total DFT energy (no corrections), the calculation gives -79.39 eV per formula unit. The density of states at the Fermi level is 0.93 states/eV/atom. The distance to the lowest polymorph of the same formula is 0.0000 eV/atom.

---

# 5
Compound: LaPaPb2O6
Source: Alexandria via LeMat-Bulk
Functional: GGA-PBE
Structure: relaxed

The structure belongs to space group R3 (No. 146, hexagonal axes); the cell edges are 6.2650, 6.2650 and 15.5810 Å and the angles 90.00°, 90.00° and 120.00°. The inequivalent atoms are La at (0.0000, 0.0000, 0.0000), Pa at (0.0000, 0.0000, 0.4927), Pb at (0.0000, 0.0000, 0.2741), Pb at (0.0000, 0.0000, 0.7776), O at (0.0814, 0.7391, 0.5592) and O at (0.0944, 0.3794, 0.0661).

The uncorrected formation energy comes out at -2.5638 eV per atom. For the total DFT energy (no corrections), the calculation gives -77.23 eV per formula unit. The density of states at the Fermi level is 0.00 states/eV/atom.

---

# 6
Compound: LaPa2PbO8
Source: Alexandria via LeMat-Bulk
Functional: GGA-PBE
Structure: relaxed

The structure belongs to space group I-4 (No. 82); the cell edges are 5.5623, 5.5623 and 10.9250 Å and the angles 90.00°, 90.00° and 90.00°. The inequivalent atoms are La at (0.0000, 0.0000, 0.0000), Pa at (0.0000, 0.0000, 0.5000), Pa at (0.0000, 0.5000, 0.2500), Pb at (0.0000, 0.5000, 0.7500), O at (0.2258, 0.7497, 0.3752) and O at (0.2270, 0.2495, 0.3744).

The uncorrected formation energy comes out at -3.0624 eV per atom. For the total DFT energy (no corrections), the calculation gives -104.04 eV per formula unit. The density of states at the Fermi level is 0.13 states/eV/atom.

---

# 7
Compound: LaPaPb2O8
Source: Alexandria via LeMat-Bulk
Functional: GGA-PBE
Structure: relaxed

The structure belongs to space group I-4m2 (No. 119); the cell edges are 7.4342, 7.4342 and 7.2715 Å and the angles 90.00°, 90.00° and 90.00°. The inequivalent atoms are La at (0.0000, 0.0000, 0.0000), Pa at (0.0000, 0.5000, 0.7500), Pb at (0.0000, 0.0000, 0.5000), Pb at (0.0000, 0.5000, 0.2500), O at (0.0000, 0.2008, 0.7008) and O at (0.0000, 0.3223, 0.0283).

The uncorrected formation energy comes out at -2.0747 eV per atom. For the total DFT energy (no corrections), the calculation gives -86.40 eV per formula unit.

---

# 8
Compound: LaPmPa2O8
Source: Alexandria via LeMat-Bulk
Functional: GGA-PBE
Structure: relaxed

The structure belongs to space group I-4m2 (No. 119); the cell edges are 5.5319, 5.5319 and 10.9059 Å and the angles 90.00°, 90.00° and 90.00°. The inequivalent atoms are La at (0.0000, 0.0000, 0.0000), Pm at (0.0000, 0.5000, 0.7500), Pa at (0.0000, 0.0000, 0.5000), Pa at (0.0000, 0.5000, 0.2500) and O at (0.2295, 0.2480, 0.3737).

The uncorrected formation energy comes out at -3.6751 eV per atom. For the total DFT energy (no corrections), the calculation gives -112.44 eV per formula unit. The density of states at the Fermi level is 0.00 states/eV/atom.

---

# 9
Compound: LaPaPt2O8
Source: Alexandria via LeMat-Bulk
Functional: GGA-PBE
Structure: relaxed

The structure belongs to space group I-4m2 (No. 119); the cell edges are 7.1876, 7.1876 and 7.1408 Å and the angles 90.00°, 90.00° and 90.00°. The inequivalent atoms are La at (0.0000, 0.0000, 0.0000), Pa at (0.0000, 0.5000, 0.2500), Pt at (0.0000, 0.0000, 0.5000), Pt at (0.0000, 0.5000, 0.7500), O at (0.0000, 0.1842, 0.2971) and O at (0.0000, 0.3365, 0.9679).

The uncorrected formation energy comes out at -1.7170 eV per atom. For the total DFT energy (no corrections), the calculation gives -86.77 eV per formula unit. The density of states at the Fermi level is 0.03 states/eV/atom.

---

# 10
Compound: Rb3La3PaO8
Source: Alexandria via LeMat-Bulk
Functional: GGA-PBE
Structure: relaxed

The structure belongs to space group R-3m (No. 166, hexagonal axes); the cell edges are 7.4304, 7.4304 and 20.1407 Å and the angles 90.00°, 90.00° and 120.00°. The inequivalent atoms are Rb at (0.0000, 0.5000, 0.0000), La at (0.0000, 0.5000, 0.5000), Pa at (0.0000, 0.0000, 0.5000), O at (0.0000, 0.0000, 0.2234) and O at (0.0260, 0.5130, 0.2214).

The uncorrected formation energy comes out at -2.8067 eV per atom. For the total DFT energy (no corrections), the calculation gives -108.95 eV per formula unit. The density of states at the Fermi level is 0.26 states/eV/atom.

---

# 11
Compound: LaPaRhO6
Source: Alexandria via LeMat-Bulk
Functional: GGA-PBE
Structure: relaxed

The structure belongs to space group P312 (No. 149); the cell edges are 5.5112, 5.5112 and 4.9178 Å and the angles 90.00°, 90.00° and 120.00°. The inequivalent atoms are La at (0.0000, 0.0000, 0.0000), Pa at (0.6667, 0.3333, 0.5000), Rh at (0.3333, 0.6667, 0.0000) and O at (0.0145, 0.3830, 0.2424).

The uncorrected formation energy comes out at -2.4679 eV per atom. For the total DFT energy (no corrections), the calculation gives -73.74 eV per formula unit. The density of states at the Fermi level is 0.88 states/eV/atom.

---

# 12
Compound: LaPaRh2O8
Source: Alexandria via LeMat-Bulk
Functional: GGA-PBE
Structure: relaxed

The structure belongs to space group P-3 (No. 147); the cell edges are 5.9904, 5.9904 and 6.9323 Å and the angles 90.00°, 90.00° and 120.00°. The inequivalent atoms are La at (0.0000, 0.0000, 0.0000), Pa at (0.0000, 0.0000, 0.5000), Rh at (0.3333, 0.6667, 0.2008), O at (0.1500, 0.8469, 0.2843) and O at (0.3333, 0.6667, 0.9427).

The uncorrected formation energy comes out at -1.6421 eV per atom. For the total DFT energy (no corrections), the calculation gives -88.50 eV per formula unit. The density of states at the Fermi level is 0.44 states/eV/atom.

---

Question: Look up the total DFT energy (no corrections) of the second one.
Answer: -28.27 eV per formula unit

---

Question: total DFT energy (no corrections) of number 2 (La2PaO)?
Answer: -28.27 eV per formula unit

---

Question: Number 9 is which compound?
Answer: LaPaPt2O8